A geometry-optimized CdCu2Ag structure, computed with PBE.

Its total energy is -2.94 eV/atom. The magnetization comes out at 0.0 μB per cell. The calculation puts the volume at 62.8 Å³/f.u.

It has space group Pmm2 (No. 25), with a = 2.948 Å, b = 3.053 Å, c = 6.979 Å, α = 90.00°, β = 90.00° and γ = 90.00°. The inequivalent atoms are Cd at (0.000, 0.000, 0.000), Cu at (0.000, 0.000, 0.549), Cu at (0.500, 0.500, 0.737) and Ag at (0.500, 0.500, 0.305).